Below is Sr2Tl2Bi after structural relaxation, with properties calculated at the PBE level.

## Properties
The energy above the lowest structure with this stoichiometry comes out at 0.00 eV per formula unit. The magnetization is 0.00 Bohr magnetons per cell. For the density, the calculation gives 7.5 Mg/m³. Its formation energy from the elements is -0.432 eV/atom. As for the space group: P4/mbm (127). The calculated total energy is -2.828 eV per atom.

The structure in extended XYZ format:
```
10
Lattice="8.384 0.000 0.000 0.000 8.384 0.000 0.000 0.000 4.993" Properties=species:S:1:pos:R:3 pbc="T T T"
Sr 1.451 5.643 2.496
Sr 5.643 6.933 2.496
Sr 6.933 2.741 2.496
Sr 2.741 1.451 2.496
Tl 3.101 7.293 0.000
Tl 7.293 5.283 0.000
Tl 5.283 1.091 0.000
Tl 1.091 3.101 0.000
Bi 0.000 0.000 0.000
Bi 4.192 4.192 0.000
```